Below is a relaxed structure of CsWOF2, with properties calculated at the PBE with a Hubbard U level.

Cell and atoms, written as POSCAR:
```
CsWOF2
1.0
5.111 0.000 0.000
0.000 5.111 0.000
0.000 0.000 4.652
F O W Cs
2 1 1 1
direct
0.000 0.500 0.000
0.500 0.000 0.000
0.000 0.000 0.500
0.500 0.500 0.500
0.000 0.000 0.000
```

Computed properties:
For the size of the total moment, the calculation gives 4.301 Bohr magnetons per cell. Its energy above the lowest structure with this stoichiometry is 2.077 eV/atom. Its density of states at the Fermi level is 3.29 states/eV/f.u.